1.
First-principles (meta-GGA SCAN) data for a crystal of TiAl2HgF relaxed with PBEsol, as listed in Alexandria via LeMat-Bulk.

Output
E_form (uncorrected): -1.96 eV/f.u.

a b c (Å): 4.383 4.383 4.243
angles (deg): 90.00 90.00 90.00
Fractional positions:
Ti1 0.000 0.000 0.000
Al1 0.000 0.500 0.500
Al2 0.500 0.000 0.500
Hg1 0.500 0.500 0.000
F1 0.000 0.000 0.500

2.
First-principles (meta-GGA SCAN) data for a crystal of AlSbI2F relaxed with PBEsol, as listed in Alexandria via LeMat-Bulk.

Output
E_form (uncorrected): 0.17 eV/f.u.

a b c (Å): 5.326 5.326 5.276
angles (deg): 90.00 90.00 90.00
Fractional positions:
Al1 0.000 0.000 0.000
Sb1 0.000 0.000 0.500
I1 0.000 0.500 0.000
I2 0.500 0.000 0.000
F1 0.500 0.500 0.500

3.
First-principles (meta-GGA SCAN) data for a crystal of Rb2AlInF6 relaxed with PBEsol, as listed in Alexandria via LeMat-Bulk.

Output
E_form (uncorrected): -30.99 eV/f.u.

a b c (Å): 6.217 6.217 6.217
angles (deg): 60.00 60.00 60.00
Fractional positions:
Rb1 0.250 0.250 0.250
Rb2 0.750 0.750 0.750
Al1 0.000 0.000 0.000
In1 0.500 0.500 0.500
F1 0.208 0.208 0.792
F2 0.208 0.792 0.208
F3 0.208 0.792 0.792
F4 0.792 0.208 0.208
F5 0.792 0.208 0.792
F6 0.792 0.792 0.208

4.
First-principles (meta-GGA SCAN) data for a crystal of K2AlIrF relaxed with PBEsol, as listed in Alexandria via LeMat-Bulk.

Output
E_form (uncorrected): 1.77 eV/f.u.

a b c (Å): 6.352 6.352 3.884
angles (deg): 90.00 90.00 90.00
Fractional positions:
K1 0.000 0.500 0.000
K2 0.500 0.000 0.000
Al1 0.000 0.000 0.500
Ir1 0.500 0.500 0.000
F1 0.500 0.500 0.500

5.
First-principles (meta-GGA SCAN) data for a crystal of K2AlF5 relaxed with PBEsol, as listed in Alexandria via LeMat-Bulk.

Output
E_form (uncorrected): -27.92 eV/f.u.

a b c (Å): 5.889 5.889 3.699
angles (deg): 90.00 90.00 90.00
Fractional positions:
K1 0.000 0.500 0.000
K2 0.500 0.000 0.000
Al1 0.000 0.000 0.500
F1 0.000 0.000 0.000
F2 0.216 0.216 0.500
F3 0.216 0.784 0.500
F4 0.784 0.216 0.500
F5 0.784 0.784 0.500

6.
First-principles (meta-GGA SCAN) data for a crystal of K3AlF relaxed with PBEsol, as listed in Alexandria via LeMat-Bulk.

Output
E_form (uncorrected): -4.52 eV/f.u.

a b c (Å): 5.365 5.365 5.365
angles (deg): 90.00 90.00 90.00
Fractional positions:
K1 0.000 0.000 0.500
K2 0.000 0.500 0.000
K3 0.500 0.000 0.000
Al1 0.500 0.500 0.500
F1 0.000 0.000 0.000